NiSnTe2I: optimized geometry, PBE.

Calculated values
Uncorrected energy (eV/atom): -2.618
Total magnetization (μB/atom): 0.315
SG: P4/mmm (123)
Calculated density (g/cm³): 4.78
Energy relative to the lowest polymorph listed for this composition (eV/f.u.): 3.85
Formation energy without anion corrections (eV per atom): 0.906

Cell: 5.7506 5.7506 5.8811 Å, 90.00 90.00 90.00°
Closest atoms and distances in Å follow each position.
Positions (direct):
Sn (0.0000, 0.0000, 0.0000)  4 Te 2.88, 2 I 2.94
Te (0.0000, 0.5000, 0.0000)  2 Sn 2.88
Te (0.5000, 0.0000, 0.0000)  2 Sn 2.88
I (0.0000, 0.0000, 0.5000)  2 Sn 2.94
Ni (0.5000, 0.5000, 0.5000)  4 I 4.07, 8 Te 4.11